Record 1
First-principles (GGA-PBE) data for a relaxed structure of LuMgAlGa, as listed in Alexandria.

Space-group type   F-43m, No. 216
DFT formation energy   -251 meV/atom
E   -3.473 eV/atom
Total magnetization   0.000 μB/f.u.

Cell lengths 4.8818, 4.8818, 4.8818 Å; angles 60.00, 60.00, 60.00 degrees
Last column: nearest neighbours and their distance in Å.
Fractional positions:
Al 0.2500 0.2500 0.2500  4 Lu 2.99, 4 Mg 2.99
Mg 0.5000 0.5000 0.5000  4 Al 2.99, 4 Ga 2.99
Lu 0.0000 0.0000 0.0000  4 Ga 2.99, 4 Al 2.99
Ga 0.7500 0.7500 0.7500  4 Mg 2.99, 4 Lu 2.99



Record 2
First-principles (GGA-PBE) data for a relaxed structure of NdLuAlGa, as listed in Alexandria.

Space-group type   F-43m, No. 216
DFT formation energy   -444 meV/atom
E   -4.458 eV/atom
Total magnetization   0.000 μB/f.u.

Cell lengths 5.1155, 5.1155, 5.1155 Å; angles 60.00, 60.00, 60.00 degrees
Last column: nearest neighbours and their distance in Å.
Fractional positions:
Al 0.7500 0.7500 0.7500  4 Nd 3.13, 4 Lu 3.13
Nd 0.0000 0.0000 0.0000  4 Ga 3.13, 4 Al 3.13
Lu 0.5000 0.5000 0.5000  4 Al 3.13, 4 Ga 3.13
Ga 0.2500 0.2500 0.2500  4 Lu 3.13, 4 Nd 3.13



Record 3
First-principles (GGA-PBE) data for a relaxed structure of LuAlGaNi, as listed in Alexandria.

Space-group type   F-43m, No. 216
DFT formation energy   -426 meV/atom
E   -4.694 eV/atom
Total magnetization   0.000 μB/f.u.

Cell lengths 4.5362, 4.5362, 4.5362 Å; angles 60.00, 60.00, 60.00 degrees
Last column: nearest neighbours and their distance in Å.
Fractional positions:
Ga 0.7500 0.7500 0.7500  4 Al 2.78, 4 Lu 2.78
Lu 0.0000 0.0000 0.0000  4 Ni 2.78, 4 Ga 2.78
Al 0.5000 0.5000 0.5000  4 Ni 2.78, 4 Ga 2.78
Ni 0.2500 0.2500 0.2500  4 Lu 2.78, 4 Al 2.78



Record 4
First-principles (GGA-PBE) data for a relaxed structure of PmLuAlGa, as listed in Alexandria.

Space-group type   F-43m, No. 216
DFT formation energy   -453 meV/atom
E   -4.463 eV/atom
Total magnetization   0.000 μB/f.u.

Cell lengths 5.0966, 5.0966, 5.0966 Å; angles 60.00, 60.00, 60.00 degrees
Last column: nearest neighbours and their distance in Å.
Fractional positions:
Pm 0.5000 0.5000 0.5000  4 Ga 3.12, 4 Al 3.12
Ga 0.7500 0.7500 0.7500  4 Lu 3.12, 4 Pm 3.12
Al 0.2500 0.2500 0.2500  4 Pm 3.12, 4 Lu 3.12
Lu 0.0000 0.0000 0.0000  4 Al 3.12, 4 Ga 3.12



Record 5
First-principles (GGA-PBE) data for a relaxed structure of LuAlGaPt, as listed in Alexandria.

Space-group type   F-43m, No. 216
DFT formation energy   -363 meV/atom
E   -4.696 eV/atom
Total magnetization   0.062 μB/f.u.

Cell lengths 4.6592, 4.6592, 4.6592 Å; angles 60.00, 60.00, 60.00 degrees
Last column: nearest neighbours and their distance in Å.
Fractional positions:
Pt 0.7500 0.7500 0.7500  4 Al 2.85, 4 Lu 2.85
Lu 0.0000 0.0000 0.0000  4 Pt 2.85, 4 Ga 2.85
Ga 0.2500 0.2500 0.2500  4 Lu 2.85, 4 Al 2.85
Al 0.5000 0.5000 0.5000  4 Ga 2.85, 4 Pt 2.85



Record 6
First-principles (GGA-PBE) data for a relaxed structure of LuPuAlGa, as listed in Alexandria.

Space-group type   F-43m, No. 216
DFT formation energy   -327 meV/atom
E   -6.732 eV/atom
Total magnetization   5.476 μB/f.u.

Cell lengths 5.0178, 5.0178, 5.0178 Å; angles 60.00, 60.00, 60.00 degrees
Last column: nearest neighbours and their distance in Å.
Fractional positions:
Lu 0.0000 0.0000 0.0000  4 Ga 3.07, 4 Al 3.07
Ga 0.2500 0.2500 0.2500  4 Pu 3.07, 4 Lu 3.07
Pu 0.5000 0.5000 0.5000  4 Al 3.07, 4 Ga 3.07
Al 0.7500 0.7500 0.7500  4 Lu 3.07, 4 Pu 3.07



Record 7
First-principles (GGA-PBE) data for a relaxed structure of LuAlGaRu, as listed in Alexandria.

Space-group type   F-43m, No. 216
DFT formation energy   -429 meV/atom
E   -5.571 eV/atom
Total magnetization   0.000 μB/f.u.

Cell lengths 4.5488, 4.5488, 4.5488 Å; angles 60.00, 60.00, 60.00 degrees
Last column: nearest neighbours and their distance in Å.
Fractional positions:
Al 0.2500 0.2500 0.2500  4 Ru 2.79, 4 Lu 2.79
Lu 0.5000 0.5000 0.5000  4 Ga 2.79, 4 Al 2.79
Ga 0.7500 0.7500 0.7500  4 Lu 2.79, 4 Ru 2.79
Ru 0.0000 0.0000 0.0000  4 Ga 2.79, 4 Al 2.79



Record 8
First-principles (GGA-PBE) data for a relaxed structure of LuScAlGa, as listed in Alexandria.

Space-group type   F-43m, No. 216
DFT formation energy   -468 meV/atom
E   -4.874 eV/atom
Total magnetization   0.000 μB/f.u.

Cell lengths 4.8775, 4.8775, 4.8775 Å; angles 60.00, 60.00, 60.00 degrees
Last column: nearest neighbours and their distance in Å.
Fractional positions:
Sc 0.5000 0.5000 0.5000  4 Al 2.99, 4 Ga 2.99
Lu 0.0000 0.0000 0.0000  4 Ga 2.99, 4 Al 2.99
Al 0.7500 0.7500 0.7500  4 Sc 2.99, 4 Lu 2.99
Ga 0.2500 0.2500 0.2500  4 Sc 2.99, 4 Lu 2.99



Record 9
First-principles (GGA-PBE) data for a relaxed structure of SmLuAlGa, as listed in Alexandria.

Space-group type   F-43m, No. 216
DFT formation energy   -456 meV/atom
E   -4.458 eV/atom
Total magnetization   0.000 μB/f.u.

Cell lengths 5.0839, 5.0839, 5.0839 Å; angles 60.00, 60.00, 60.00 degrees
Last column: nearest neighbours and their distance in Å.
Fractional positions:
Lu 0.5000 0.5000 0.5000  4 Al 3.11, 4 Ga 3.11
Al 0.7500 0.7500 0.7500  4 Sm 3.11, 4 Lu 3.11
Ga 0.2500 0.2500 0.2500  4 Sm 3.11, 4 Lu 3.11
Sm 0.0000 0.0000 0.0000  4 Al 3.11, 4 Ga 3.11



Record 10
First-principles (GGA-PBE) data for a relaxed structure of TbLuAlGa, as listed in Alexandria.

Space-group type   F-43m, No. 216
DFT formation energy   -467 meV/atom
E   -4.448 eV/atom
Total magnetization   0.000 μB/f.u.

Cell lengths 5.0418, 5.0418, 5.0418 Å; angles 60.00, 60.00, 60.00 degrees
Last column: nearest neighbours and their distance in Å.
Fractional positions:
Lu 0.5000 0.5000 0.5000  4 Ga 3.09, 4 Al 3.09
Ga 0.2500 0.2500 0.2500  4 Tb 3.09, 4 Lu 3.09
Al 0.7500 0.7500 0.7500  4 Tb 3.09, 4 Lu 3.09
Tb 0.0000 0.0000 0.0000  4 Al 3.09, 4 Ga 3.09



Record 11
First-principles (GGA-PBE) data for a relaxed structure of LuAlGaTc, as listed in Alexandria.

Space-group type   F-43m, No. 216
DFT formation energy   -246 meV/atom
E   -5.660 eV/atom
Total magnetization   0.000 μB/f.u.

Cell lengths 4.5882, 4.5882, 4.5882 Å; angles 60.00, 60.00, 60.00 degrees
Last column: nearest neighbours and their distance in Å.
Fractional positions:
Lu 0.0000 0.0000 0.0000  4 Ga 2.81, 4 Al 2.81
Al 0.7500 0.7500 0.7500  4 Lu 2.81, 4 Tc 2.81
Ga 0.2500 0.2500 0.2500  4 Tc 2.81, 4 Lu 2.81
Tc 0.5000 0.5000 0.5000  4 Al 2.81, 4 Ga 2.81



Record 12
First-principles (GGA-PBE) data for a relaxed structure of LuThAlGa, as listed in Alexandria.

Space-group type   F-43m, No. 216
DFT formation energy   -359 meV/atom
E   -5.037 eV/atom
Total magnetization   0.000 μB/f.u.

Cell lengths 5.1300, 5.1300, 5.1300 Å; angles 60.00, 60.00, 60.00 degrees
Last column: nearest neighbours and their distance in Å.
Fractional positions:
Lu 0.5000 0.5000 0.5000  4 Al 3.14, 4 Ga 3.14
Th 0.0000 0.0000 0.0000  4 Al 3.14, 4 Ga 3.14
Al 0.7500 0.7500 0.7500  4 Th 3.14, 4 Lu 3.14
Ga 0.2500 0.2500 0.2500  4 Th 3.14, 4 Lu 3.14